Sm2Sn5Pd3, relaxed, DFT GGA-PBE; calculated volume = 464 Å³/cell; total energy = -103.37 eV per cell; relative energy among the computed polymorphs = 37.7 meV per atom; Fermi-level density of states = 0.296 states/eV/atom; formation energy = -0.6654 eV/atom; space-group type = Ibam (72)
1.0
-3.505 -5.450 -1.098
-2.572 -3.879 7.794
-8.902 1.610 0.757
Sn Pd Sm
10 6 4
Cartesian
-10.589 -4.335 6.143
-12.341 -7.060 5.594
-6.614 -2.497 4.001
-7.856 -8.118 6.360
-10.290 -1.762 2.255
-8.366 -5.222 3.452
-7.124 0.399 1.093
-4.391 -3.384 1.310
-4.690 -5.957 5.198
-2.638 -0.659 1.859
-0.876 -1.363 -0.275
-9.718 -6.705 5.292
-5.261 -1.015 2.161
-5.689 -4.889 3.084
-2.629 -4.088 -0.824
-9.291 -2.831 4.369
-11.835 -4.875 2.966
-7.782 -3.068 0.731
-3.145 -2.844 4.487
-7.197 -4.652 6.722